No. 1
An optimized crystal structure of CaEu2Lu. Source: the Alexandria database, functional PBE-GGA.

abc: 4.101 4.101 9.054
angles: 90.00 90.00 90.00
Space group P4/mmm (No. 123)
Inequivalent atoms, fractional coordinates:
Ca 0.000 0.000 0.000 (multiplicity 1)
Eu 0.500 0.500 0.275 (multiplicity 2)
Lu 0.000 0.000 0.500 (multiplicity 1)

Properties
polymorph energy (0 for the lowest one)	0.00	eV/f.u.
spin magnetization	14.62	μB/f.u.


No. 2
An optimized crystal structure of Pa5Si2Ge5. Source: the Alexandria database, functional PBE-GGA.

abc: 14.872 3.947 11.485
angles: 90.00 130.07 90.00
Space group C2/m (No. 12)
Inequivalent atoms, fractional coordinates:
Pa 0.000 0.000 0.000 (multiplicity 2)
Pa 0.108 0.000 0.420 (multiplicity 4)
Pa 0.199 0.000 0.832 (multiplicity 4)
Si 0.142 0.500 0.257 (multiplicity 4)
Ge 0.000 0.500 0.500 (multiplicity 2)
Ge 0.068 0.500 0.862 (multiplicity 4)
Ge 0.239 0.500 0.681 (multiplicity 4)

Properties
spin magnetization	0.00	μB/f.u.
formation energy from raw total energies	-0.402	eV/atom